DFT (GGA-PBE) results for a relaxed structure of LaAlGaCu.

Cell lengths 4.852, 4.852, 4.852 Å; angles 60.00, 60.00, 60.00 degrees
Fractional coordinates of all 4 atoms:
La (0.000, 0.000, 0.000)
Al (0.500, 0.500, 0.500)
Ga (0.750, 0.750, 0.750)
Cu (0.250, 0.250, 0.250)

The magnetization comes out at 0.00 μB/f.u. For the total energy, the calculation gives -4.26 eV per atom. The value obtained for the energy relative to the elements is -30 kJ/mol of atoms. The distance to the lowest polymorph of the same formula comes out at 0.509 eV/f.u.

DFT (GGA-PBE) results for a relaxed structure of CuPSO.

Cell lengths 4.049, 3.236, 5.272 Å; angles 90.00, 107.08, 90.00 degrees
Fractional coordinates of all 4 atoms:
Cu (0.000, 0.000, 0.000)
P (0.479, 0.500, 0.503)
S (0.426, 0.000, 0.795)
O (0.135, 0.500, 0.274)

The magnetization comes out at 0.00 μB/f.u. The value obtained for the uncorrected formation energy is -2.28 eV/f.u. For the total energy, the calculation gives -5.22 eV per atom. The distance to the lowest polymorph of the same formula comes out at 0.433 eV/f.u.

DFT (GGA-PBE) results for a relaxed structure of TbPu2Hg6.

Cell lengths 6.048, 6.048, 6.048 Å; angles 92.91, 92.91, 92.91 degrees
Fractional coordinates of all 9 atoms:
Tb (0.000, 0.000, 0.000)
Pu (0.340, 0.340, 0.340)
Pu (0.660, 0.660, 0.660)
Hg (0.165, 0.500, 0.835)
Hg (0.165, 0.835, 0.500)
Hg (0.500, 0.165, 0.835)
Hg (0.500, 0.835, 0.165)
Hg (0.835, 0.165, 0.500)
Hg (0.835, 0.500, 0.165)

The magnetization comes out at 11.81 μB/f.u. For the total energy, the calculation gives -4.14 eV per atom. The value obtained for the energy relative to the elements is -23 kJ/mol of atoms.

DFT (GGA-PBE) results for a relaxed structure of Cu2TcPt.

Cell lengths 4.252, 4.252, 4.252 Å; angles 60.00, 60.00, 60.00 degrees
Fractional coordinates of all 4 atoms:
Cu (0.250, 0.250, 0.250)
Cu (0.750, 0.750, 0.750)
Tc (0.000, 0.000, 0.000)
Pt (0.500, 0.500, 0.500)

The magnetization comes out at 1.37 μB/f.u. For the total energy, the calculation gives -5.95 eV per atom. The value obtained for the energy relative to the elements is 19 kJ/mol of atoms. The distance to the lowest polymorph of the same formula comes out at 0.862 eV/f.u.

The highest magnetization belongs to which entry? TbPu2Hg6